VASP calculation (PBE with a Hubbard U) on a relaxed structure of Ca3Mn2Ge3O12.

- final energy (eV/cell) = -548.63
- total magnetic moment (μB/f.u.) = 8.000
- symmetry = Ia-3d (230)
- Fermi-level density of states (states/eV per atom) = 0.38

Cell and atoms, written as extended XYZ:
```
80
Lattice="-6.255 6.255 6.255 6.255 -6.255 6.255 6.255 6.255 -6.255" Properties=species:S:1:pos:R:3 pbc="T T T"
Ca 3.128 1.564 0.000
Ca 6.255 3.128 -1.564
Ca 1.564 0.000 3.128
Ca 7.819 0.000 3.128
Ca 0.000 3.128 1.564
Ca 3.128 -1.564 6.255
Ca 3.128 7.819 0.000
Ca 6.255 3.128 4.692
Ca -1.564 6.255 3.128
Ca 4.692 6.255 3.128
Ca 0.000 3.128 7.819
Ca 3.128 4.692 6.255
Mn 0.000 0.000 0.000
Mn 3.128 3.128 -3.128
Mn 3.128 -3.128 3.128
Mn 6.255 0.000 0.000
Mn -3.128 3.128 3.128
Mn 0.000 6.255 0.000
Mn 0.000 0.000 6.255
Mn 3.128 3.128 3.128
Ge 9.383 1.564 0.000
Ge 6.255 -3.128 4.692
Ge 4.692 6.255 -3.128
Ge 4.692 0.000 3.128
Ge 3.128 4.692 0.000
Ge 6.255 3.128 1.564
Ge 0.000 3.128 4.692
Ge 3.128 1.564 6.255
Ge 1.564 6.255 3.128
Ge 1.564 0.000 9.383
Ge 0.000 9.383 1.564
Ge -3.128 4.692 6.255
O 1.917 -0.415 0.647
O 7.466 3.775 -3.543
O 8.173 0.415 0.647
O 7.466 -2.481 3.543
O 5.840 -0.647 1.917
O 9.799 -1.211 2.481
O 0.647 1.917 -0.415
O 8.736 2.712 -1.211
O 3.775 3.543 -1.211
O 5.608 1.917 0.415
O -0.415 0.647 1.917
O 3.543 -1.211 3.775
O 5.840 5.608 -1.917
O 3.543 1.211 2.481
O 3.775 -3.543 7.466
O 5.608 -1.917 5.840
O 2.481 3.543 1.211
O 6.903 4.338 0.415
O 3.543 7.466 -2.481
O 5.840 0.647 4.338
O 1.917 5.840 -0.647
O 7.466 2.481 2.712
O 1.211 2.481 3.543
O 1.917 0.415 5.608
O 4.338 5.840 0.647
O 5.045 3.775 2.712
O -1.211 3.775 3.543
O 4.338 0.415 6.903
O 0.415 5.608 1.917
O 2.712 -1.211 8.736
O -0.647 1.917 5.840
O 3.775 2.712 5.045
O 0.647 8.173 0.415
O 2.481 9.799 -1.211
O 2.712 5.045 3.775
O 0.415 0.647 8.173
O 2.712 7.466 2.481
O 6.671 5.608 4.338
O 0.647 4.338 5.840
O 2.481 2.712 7.466
O -2.481 3.543 7.466
O 5.608 4.338 6.671
O -3.543 7.466 3.775
O 0.415 6.903 4.338
O -1.211 8.736 2.712
O -1.917 5.840 5.608
O -1.211 2.481 9.799
O 4.338 6.671 5.608
```